i | CrCuMo2 | the Alexandria database | PBE-GGA | optimized geometry; spin magnetization = 0.00 μB/atom
1.0
1.3395 0.7733 9.2359
-1.3395 0.7733 9.2359
0.0000 -1.5467 9.2359
Cr Cu Mo
1 1 2
Direct
0.0000 0.0000 0.0000
0.7432 0.7432 0.7432
0.2497 0.2497 0.2497
0.4929 0.4929 0.4929

---

ii | CrCuMo2 | the Alexandria database | PBE-GGA | optimized geometry; spin magnetization = 0.34 μB/atom
1.0
1.3477 0.7781 9.0995
-1.3477 0.7781 9.0995
0.0000 -1.5562 9.0995
Cr Cu Mo
1 1 2
Direct
0.0000 0.0000 0.0000
0.5000 0.5000 0.5000
0.2510 0.2510 0.2510
0.7490 0.7490 0.7490

---

Least stable: i

---

i | CaRuCl6 | the Alexandria database | PBE-GGA | optimized geometry; spin magnetization = 0.25 μB/atom
1.0
3.1934 1.8437 5.7884
-3.1934 1.8437 5.7884
0.0000 -3.6874 5.7884
Ca Ru Cl
1 1 6
Direct
0.0000 0.0000 0.0000
0.5000 0.5000 0.5000
0.1123 0.7159 0.4400
0.2841 0.5600 0.8877
0.4400 0.1123 0.7159
0.5600 0.8877 0.2841
0.7159 0.4400 0.1123
0.8877 0.2841 0.5600

---

ii | CaRuCl6 | the Alexandria database | PBE-GGA | optimized geometry; spin magnetization = 0.25 μB/atom
1.0
4.1720 -5.3792 0.0000
4.1720 5.3792 0.0000
-2.6216 0.0000 6.1578
Ca Ru Cl
1 1 6
Direct
0.0000 0.0000 0.0000
0.0000 0.0000 0.5000
0.0297 0.7204 0.2339
0.2500 0.2500 0.4180
0.2796 0.9703 0.7661
0.7204 0.0297 0.2339
0.7500 0.7500 0.5820
0.9703 0.2796 0.7661

---

Least stable: i

---

i | ReHN | the Alexandria database | PBE-GGA | optimized geometry; spin magnetization = 0.00 μB/atom
1.0
-1.4263 1.6038 6.0010
1.4263 -1.6038 6.0010
1.4263 1.6038 -6.0010
Re H N
2 2 2
Direct
0.1727 0.1727 0.0000
0.8273 0.8273 0.0000
0.3872 0.8872 0.5000
0.6128 0.1128 0.5000
0.0524 0.5524 0.5000
0.9476 0.4476 0.5000

---

ii | ReHN | the Alexandria database | PBE-GGA | optimized geometry; spin magnetization = 0.00 μB/atom
1.0
2.7777 0.0000 0.0000
1.3833 2.4904 0.0000
0.6927 0.3297 9.1873
Re H N
2 2 2
Direct
0.0000 0.0000 0.0000
0.2669 0.3387 0.2356
0.3827 0.2745 0.5796
0.6725 0.7124 0.8846
0.7397 0.2836 0.5350
0.7437 0.3091 0.4000

---

Least stable: ii

---

i | TaTl2Cu | the Alexandria database | PBE-GGA | optimized geometry; spin magnetization = 0.00 μB/atom
1.0
3.0723 0.0000 0.0000
0.0000 4.4476 0.0000
-0.5282 0.0000 5.9431
Ta Tl Cu
1 2 1
Direct
0.0000 0.0000 0.0000
0.3635 0.5000 0.7455
0.6365 0.5000 0.2545
0.5000 0.0000 0.5000

---

ii | TaTl2Cu | the Alexandria database | PBE-GGA | optimized geometry; spin magnetization = 0.00 μB/atom
1.0
3.0461 0.0000 0.0000
0.0000 3.0461 0.0000
0.0000 0.0000 8.5193
Ta Tl Cu
1 2 1
Direct
0.0000 0.0000 0.0000
0.5000 0.5000 0.2671
0.5000 0.5000 0.7329
0.0000 0.0000 0.5000

---

Least stable: i

---

i | AgHg2Ir | the Alexandria database | PBE-GGA | optimized geometry; spin magnetization = 0.00 μB/atom
1.0
-1.6132 2.4884 4.7149
1.6132 -2.4884 4.7149
1.6132 2.4884 -4.7149
Ag Hg Ir
1 2 1
Direct
0.0000 0.0000 0.0000
0.2585 0.7585 0.5000
0.7415 0.2415 0.5000
0.5000 0.5000 0.0000

---

ii | AgHg2Ir | the Alexandria database | PBE-GGA | optimized geometry; spin magnetization = 0.00 μB/atom
1.0
3.0294 -3.8806 0.0000
3.0294 3.8806 0.0000
0.0000 0.0000 3.1339
Ag Hg Ir
1 2 1
Direct
0.0000 0.0000 0.0000
0.0000 0.5000 0.5000
0.5000 0.0000 0.5000
0.5000 0.5000 0.0000

---

Least stable: i

---

i | Na2H6Ir | the Alexandria database | PBE-GGA | optimized geometry; spin magnetization = 0.11 μB/atom
1.0
4.6109 0.0000 0.0000
0.0000 4.6109 0.0000
0.0000 0.0000 9.6220
Na H Ir
4 12 2
Direct
0.0000 0.0000 0.1648
0.0000 0.0000 0.8352
0.5000 0.5000 0.3352
0.5000 0.5000 0.6648
0.1692 0.1692 0.3692
0.1692 0.1692 0.6308
0.2434 0.2434 0.0000
0.2566 0.7434 0.5000
0.3308 0.6692 0.1308
0.3308 0.6692 0.8692
0.6692 0.3308 0.1308
0.6692 0.3308 0.8692
0.7434 0.2566 0.5000
0.7566 0.7566 0.0000
0.8308 0.8308 0.3692
0.8308 0.8308 0.6308
0.0000 0.0000 0.5000
0.5000 0.5000 0.0000

---

ii | Na2H6Ir | the Alexandria database | PBE-GGA | optimized geometry; spin magnetization = 0.11 μB/atom
1.0
0.0000 3.6012 3.6012
3.6012 0.0000 3.6012
3.6012 3.6012 0.0000
Na H Ir
2 6 1
Direct
0.2500 0.2500 0.2500
0.7500 0.7500 0.7500
0.2341 0.2341 0.7659
0.2341 0.7659 0.2341
0.2341 0.7659 0.7659
0.7659 0.2341 0.2341
0.7659 0.2341 0.7659
0.7659 0.7659 0.2341
0.0000 0.0000 0.0000

---

Least stable: i